Compound: Ho3Er7Tl
Source: the Alexandria database
Functional: PBE-GGA
Structure: optimized geometry

## Properties
**E**: -4.2130 eV/atom
**ΔH_f (0 K)**: 0.154 eV per atom

abc: 6.9014 6.9014 8.4435
angles: 90.00 90.00 120.00
Positions (direct):
Ho 0.0028 0.5014 0.0000
Ho 0.4986 0.5014 0.0000
Ho 0.4986 0.9972 0.0000
Er 0.1699 0.3398 0.3387
Er 0.1699 0.8301 0.3387
Er 0.3333 0.6667 0.6732
Er 0.3354 0.1677 0.6626
Er 0.6602 0.8301 0.3387
Er 0.8323 0.1677 0.6626
Er 0.8323 0.6646 0.6626
Tl 0.6667 0.3333 0.3365